Entry 1:
A plane-wave DFT calculation with PBE was carried out for crystalline LiZrPd5 at its relaxed geometry.

Unit cell a=4.078 b=4.078 c=6.811 alpha=90.00 beta=90.00 gamma=90.00
Fractional positions:
Li: 0.000 0.000 0.000
Zr: 0.500 0.500 0.500
Pd: 0.000 0.000 0.500
Pd: 0.000 0.500 0.215
Pd: 0.000 0.500 0.785
Pd: 0.500 0.000 0.215
Pd: 0.500 0.000 0.785

Properties
The value obtained for the total energy is -39.68 eV/cell. The space group is P4/mmm. Its calculated formation energy is -3.25 eV per formula unit.



Entry 2:
A plane-wave DFT calculation with PBE was carried out for crystalline Ho4MnI5 at its relaxed geometry.

Unit cell a=9.921 b=9.921 c=9.353 alpha=103.30 beta=103.30 gamma=23.07
Fractional positions:
Ho: 0.000 0.000 0.220
Ho: 0.000 0.000 0.780
Ho: 0.373 0.373 0.936
Ho: 0.627 0.627 0.064
Mn: 0.500 0.500 0.000
I: 0.166 0.166 0.325
I: 0.168 0.168 0.842
I: 0.500 0.500 0.500
I: 0.832 0.832 0.158
I: 0.834 0.834 0.675

Properties
The uncorrected formation energy comes out at -869 meV per atom. The value obtained for the total energy is -43.92 eV/cell. The space group is C2/m.



Entry 3:
A plane-wave DFT calculation with PBE was carried out for crystalline Zr2CuPt5Rh at its relaxed geometry.

Unit cell a=7.705 b=7.705 c=7.705 alpha=116.57 beta=116.57 gamma=96.05
Fractional positions:
Zr: 0.121 0.621 0.742
Zr: 0.379 0.121 0.500
Zr: 0.621 0.879 0.500
Zr: 0.879 0.379 0.258
Cu: 0.250 0.250 0.000
Cu: 0.750 0.750 0.000
Pt: 0.000 0.000 0.000
Pt: 0.061 0.174 0.500
Pt: 0.174 0.674 0.113
Pt: 0.326 0.439 0.500
Pt: 0.439 0.939 0.113
Pt: 0.500 0.500 0.000
Pt: 0.561 0.061 0.887
Pt: 0.674 0.561 0.500
Pt: 0.826 0.326 0.887
Pt: 0.939 0.826 0.500
Rh: 0.250 0.750 0.500
Rh: 0.750 0.250 0.500

Properties
The value obtained for the total energy is -118.27 eV/cell. The space group is I4/mcm. Its calculated formation energy is -0.38 eV per formula unit.



Entry 4:
A plane-wave DFT calculation with PBE was carried out for crystalline Rb3Cd2 at its relaxed geometry.

Unit cell a=5.317 b=19.076 c=5.476 alpha=90.00 beta=90.00 gamma=90.00
Fractional positions:
Rb: 0.000 0.000 0.000
Rb: 0.000 0.350 0.500
Rb: 0.000 0.650 0.500
Rb: 0.500 0.150 0.500
Rb: 0.500 0.500 0.000
Rb: 0.500 0.850 0.500
Cd: 0.000 0.213 0.000
Cd: 0.000 0.787 0.000
Cd: 0.500 0.287 0.000
Cd: 0.500 0.713 0.000

Properties
The value obtained for the total energy is -9.80 eV/cell. The space group is Cmmm. Its calculated formation energy is -0.17 eV per formula unit. The calculation puts the offset from the most stable computed form at 0.000 eV/f.u.